Entry P
DFT (GGA-PBE) results for crystalline Pr2AlPd4 at its relaxed geometry.

Cell: 8.3752 8.7553 8.7803 Å, 90.00 90.00 90.00°
With the nearest neighbours (Å) after each atom.
Space group Fmmm (No. 69)
Inequivalent atoms, fractional coordinates:
Pr 0.2500 0.2500 0.2500 x8  8 Pd 3.04
Al 0.0000 0.0000 0.0000 x4  4 Pd 2.45
Pd 0.0000 0.0000 0.2790 x8  1 Al 2.45, 2 Pd 2.73
Pd 0.0000 0.2199 0.5000 x8  1 Al 2.45, 2 Pd 2.73

Theoretical density in g cm⁻³: 7.6
Total magnetic moment in μB/f.u.: 0.00

---

Entry Q
DFT (GGA-PBE) results for crystalline Pr2AlPd4 at its relaxed geometry.

Cell: 6.0404 7.1540 15.1478 Å, 90.00 90.00 90.00°
With the nearest neighbours (Å) after each atom.
Space group Fmmm (No. 69)
Inequivalent atoms, fractional coordinates:
Pr 0.0000 0.0000 0.1446 x8  7 Pd 2.96-3.21
Al 0.0000 0.0000 0.5000 x4  6 Pd 2.34-2.42
Pd 0.0000 0.0000 0.3400 x8  1 Al 2.42
Pd 0.2500 0.2500 0.0000 x8  2 Al 2.34

Theoretical density in g cm⁻³: 7.5
Total magnetic moment in μB/f.u.: 0.00

---

Question: of the structures shown, which is the least stable? Reply: entry Q.